Record 1
## ScZn2W (PBE-GGA)

Data for a relaxed structure of ScZn2W.

Geometry as CIF:
```
data_ScZn2W
_chemical_formula_sum 'Sc2 Zn4 W2'
_cell_length_a 4.084
_cell_length_b 4.084
_cell_length_c 7.790
_cell_angle_alpha 90.00
_cell_angle_beta 90.00
_cell_angle_gamma 90.00
_symmetry_space_group_name_H-M 'I 4/m m m'
_symmetry_Int_Tables_number 139
_symmetry_space_group_name_Hall '-I 4 2'
loop_
_atom_site_label
_atom_site_fract_x
_atom_site_fract_y
_atom_site_fract_z
Sc1 0.000 0.000 0.000
Zn1 0.000 0.500 0.250
W1 0.000 0.000 0.500
```

Computed properties:
**Mass density**: 9.2 Mg/m³
**Offset from the most stable computed form**: 0.047 eV per atom



Record 2
## Sc2ZnW (PBE-GGA)

Data for a relaxed structure of Sc2ZnW.

Geometry as CIF:
```
data_Sc2ZnW
_chemical_formula_sum 'Sc2 Zn1 W1'
_cell_length_a 4.321
_cell_length_b 4.321
_cell_length_c 3.938
_cell_angle_alpha 90.00
_cell_angle_beta 90.00
_cell_angle_gamma 90.00
_symmetry_space_group_name_H-M 'P 4/m m m'
_symmetry_Int_Tables_number 123
_symmetry_space_group_name_Hall '-P 4 2'
loop_
_atom_site_label
_atom_site_fract_x
_atom_site_fract_y
_atom_site_fract_z
Sc1 0.000 0.500 0.000
Zn1 0.000 0.000 0.500
W1 0.500 0.500 0.500
```

Computed properties:
**Mass density**: 7.7 Mg/m³



Record 3
## ScZnW2 (PBE-GGA)

Data for a relaxed structure of ScZnW2.

Geometry as CIF:
```
data_ScZnW2
_chemical_formula_sum 'Sc1 Zn1 W2'
_cell_length_a 2.733
_cell_length_b 2.733
_cell_length_c 8.979
_cell_angle_alpha 90.00
_cell_angle_beta 90.00
_cell_angle_gamma 90.00
_symmetry_space_group_name_H-M 'P 4/m m m'
_symmetry_Int_Tables_number 123
_symmetry_space_group_name_Hall '-P 4 2'
loop_
_atom_site_label
_atom_site_fract_x
_atom_site_fract_y
_atom_site_fract_z
Sc1 0.000 0.000 0.000
Zn1 0.000 0.000 0.500
W1 0.500 0.500 0.268
```

Computed properties:
**Mass density**: 11.8 Mg/m³



Record 4
## ScZn2W (PBE-GGA)

Data for a relaxed structure of ScZn2W.

Geometry as CIF:
```
data_ScZn2W
_chemical_formula_sum 'Sc2 Zn4 W2'
_cell_length_a 10.429
_cell_length_b 2.922
_cell_length_c 4.816
_cell_angle_alpha 90.00
_cell_angle_beta 116.54
_cell_angle_gamma 90.00
_symmetry_space_group_name_H-M 'C 1 m 1'
_symmetry_Int_Tables_number 8
loop_
_symmetry_equiv_pos_as_xyz
'x,y,z'
'x,-y,z'
'x+1/2,y+1/2,z'
'x+1/2,-y+1/2,z'
loop_
_atom_site_label
_atom_site_fract_x
_atom_site_fract_y
_atom_site_fract_z
Sc1 0.000 0.000 0.000
Zn1 0.262 0.500 0.352
Zn2 0.492 0.000 0.477
W1 0.240 0.000 0.829
```

Computed properties:
**Mass density**: 9.1 Mg/m³
**Offset from the most stable computed form**: 0.051 eV per atom



| no. | formation energy (eV/atom) | E_tot (hartree per atom) |
| --- | --- | --- |
| 1 | 0.10 | -0.197 |
| 2 | 0.12 | -0.242 |
| 3 | 0.27 | -0.298 |
| 4 | 0.10 | -0.197 |